A crystal of Ba2HgAs relaxed with PBEsol, computed with SCAN.

Summary:
**ΔH_f (0 K)**: -0.43 eV/atom
**Fermi-level density of states**: 0.904 states/eV/atom
**Energy above the most stable polymorph in this dataset**: 0.5320 eV/atom

POSCAR file:
```
Ba2HgAs
1.0
-1.223 3.088 -4.480
-2.750 -2.272 -4.287
-5.283 1.469 -1.017
As Hg Ba
1 1 2
direct
0.500 0.500 0.500
0.250 0.250 0.250
0.000 0.000 0.000
0.750 0.750 0.750
```